An optimized crystal structure of Sr4Hg3Bi2, computed with PBE.

Values from the calculation:
Total moment   0.000 μB/atom
Energy relative to the elements   -5.955 eV per formula unit
Total DFT energy (no corrections)   -2.372 eV/atom
Space group   C2/m, No. 12

Cell: 5.3761 5.3823 12.3728 Å, 89.88 90.00 60.03°
Closest atoms and distances in Å follow each position.
Positions (direct):
Sr 0.9997 0.0005 0.3465  3 Bi 3.57, 6 Hg 3.62-3.67, 1 Sr 3.80
Sr 0.0003 0.9995 0.6535  3 Bi 3.57, 6 Hg 3.62-3.67, 1 Sr 3.80
Hg 0.3332 0.3333 0.4968  3 Hg 3.11
Hg 0.0000 0.0000 0.0000  6 Sr 3.38
Sr 0.6668 0.6666 0.8920  3 Bi 3.33, 3 Hg 3.38
Bi 0.6665 0.6668 0.2046  6 Sr 3.33-3.57, 1 Hg 3.70
Hg 0.6668 0.6667 0.5032  3 Hg 3.11
Bi 0.3335 0.3332 0.7954  6 Sr 3.33-3.57, 1 Hg 3.70
Sr 0.3332 0.3334 0.1080  3 Bi 3.33, 3 Hg 3.38

---

An optimized crystal structure of SrLiInPb, computed with PBE.

Values from the calculation:
Total moment   0.000 μB/atom
Energy relative to the elements   -1.340 eV per formula unit
Total DFT energy (no corrections)   -2.846 eV/atom
Space group   F-43m, No. 216

Cell: 5.4557 5.4557 5.4557 Å, 60.00 60.00 60.00°
Closest atoms and distances in Å follow each position.
Positions (direct):
Li 0.0000 0.0000 0.0000  4 In 3.34, 4 Pb 3.34
Sr 0.5000 0.5000 0.5000  4 In 3.34, 4 Pb 3.34
Pb 0.7500 0.7500 0.7500  4 Li 3.34, 4 Sr 3.34
In 0.2500 0.2500 0.2500  4 Li 3.34, 4 Sr 3.34

---

Number 1 is which compound? Sr4Hg3Bi2